Material: NaPtO2F
Method: DFT, PBEsol
State: optimized geometry

a = 4.0288 Å, b = 4.0288 Å, c = 3.8537 Å
α = 90.00°, β = 90.00°, γ = 90.00°
Sites, in units of the cell vectors:
Na 0.0000 0.0000 0.0000
Pt 0.5000 0.5000 0.5000
O 0.0000 0.5000 0.0000
O 0.5000 0.0000 0.0000
F 0.0000 0.0000 0.5000

## Properties
**E_form (uncorrected)**: 0.60 eV per atom